# 1
First-principles (PBE) data for an optimized crystal structure of Y3Sn, as listed in Alexandria via LeMat-Bulk.

## Properties
- space-group type = Pmm2, No. 25
- ΔH_f (0 K) (kJ per mole of atoms) = -29.8
- DOS at the Fermi energy (states/eV/atom) = 1.021
- E_tot (eV for the cell shown) = -24.6

a b c (Å): 3.5515 5.4260 6.0278
angles (deg): 90.00 90.00 90.00
Last column: nearest neighbours and their distance in Å.
Element x y z (fractional)
Y 0.0000 0.0000 0.0000  8 Y 3.37-3.63, 4 Sn 3.38
Y 0.0000 0.5000 0.3594  8 Y 3.39-3.55, 4 Sn 3.42-3.58
Y 0.5000 0.0000 0.5243  2 Sn 3.33, 10 Y 3.37-3.63
Sn 0.5000 0.5000 0.8437  10 Y 3.33-3.58, 2 Sn 3.55

=====

# 2
First-principles (PBE) data for an optimized crystal structure of UTcP2Rh2, as listed in Alexandria via LeMat-Bulk.

## Properties
- space-group type = Pmc2_1, No. 26
- ΔH_f (0 K) (kJ per mole of atoms) = -64.8
- DOS at the Fermi energy (states/eV/atom) = 1.029
- E_tot (eV for the cell shown) = -102.4

a b c (Å): 3.8501 6.6532 7.4841
angles (deg): 90.00 90.00 90.00
Last column: nearest neighbours and their distance in Å.
Element x y z (fractional)
U 0.0000 0.1356 0.0000  5 P 2.68-3.00, 2 Rh 2.86, 2 Tc 2.90
U 0.0000 0.8644 0.5000  5 P 2.68-3.00, 2 Rh 2.86, 2 Tc 2.90
Tc 0.5000 0.1606 0.3781  4 P 2.36-2.41
Tc 0.5000 0.8394 0.8781  4 P 2.36-2.41
P 0.0000 0.3597 0.2982  4 Rh 2.33-2.48, 2 Tc 2.41
P 0.0000 0.6403 0.7982  4 Rh 2.33-2.48, 2 Tc 2.41
P 0.5000 0.1292 0.6970  2 Tc 2.36-2.40, 3 Rh 2.38-2.52
P 0.5000 0.8708 0.1970  2 Tc 2.36-2.40, 3 Rh 2.38-2.52
Rh 0.0000 0.3522 0.6089  4 P 2.33-2.52
Rh 0.0000 0.6478 0.1089  4 P 2.33-2.52
Rh 0.5000 0.4230 0.8777  3 P 2.38-2.48
Rh 0.5000 0.5770 0.3777  3 P 2.38-2.48

=====

# 3
First-principles (PBE) data for an optimized crystal structure of LaDy4Er4, as listed in Alexandria via LeMat-Bulk.

## Properties
- space-group type = I4/mmm, No. 139
- ΔH_f (0 K) (kJ per mole of atoms) = 2.6
- DOS at the Fermi energy (states/eV/atom) = 1.461
- E_tot (eV for the cell shown) = -41.3

a b c (Å): 7.9472 7.9472 7.9472
angles (deg): 95.70 95.70 143.25
Last column: nearest neighbours and their distance in Å.
Element x y z (fractional)
La 0.0000 0.0000 0.0000  4 Dy 3.57, 8 Er 3.57
Dy 0.0000 0.3346 0.3346  5 Dy 3.53-3.54, 6 Er 3.53-3.56, 1 La 3.57
Dy 0.0000 0.6654 0.6654  5 Dy 3.53-3.54, 6 Er 3.53-3.56, 1 La 3.57
Dy 0.3346 0.0000 0.3346  5 Dy 3.53-3.54, 6 Er 3.53-3.56, 1 La 3.57
Dy 0.6654 0.0000 0.6654  5 Dy 3.53-3.54, 6 Er 3.53-3.56, 1 La 3.57
Er 0.3314 0.3314 0.6627  4 Er 3.51-3.60, 6 Dy 3.53-3.56, 2 La 3.57
Er 0.3314 0.6686 0.0000  4 Er 3.51-3.60, 6 Dy 3.53-3.56, 2 La 3.57
Er 0.6686 0.3314 0.0000  4 Er 3.51-3.60, 6 Dy 3.53-3.56, 2 La 3.57
Er 0.6686 0.6686 0.3373  4 Er 3.51-3.60, 6 Dy 3.53-3.56, 2 La 3.57